# LiLa2Rh2 | the Alexandria database | PBE | relaxed
data_LiLa2Rh2
_cell_length_a 8.374
_cell_length_b 8.374
_cell_length_c 3.392
_cell_angle_alpha 90.00
_cell_angle_beta 90.00
_cell_angle_gamma 90.00
_symmetry_space_group_name_H-M 'P 1'
_symmetry_Int_Tables_number 1
loop_
_symmetry_equiv_pos_as_xyz
'x,y,z'
loop_
_atom_site_label
_atom_site_type_symbol
_atom_site_fract_x
_atom_site_fract_y
_atom_site_fract_z
La1 La 0.649 0.149 0.000
Rh1 Rh 0.351 0.149 0.500
Rh2 Rh 0.649 0.851 0.500
La2 La 0.351 0.851 0.000
Li1 Li 0.500 0.500 0.000
La3 La 0.851 0.649 0.000
Rh3 Rh 0.149 0.649 0.500
Li2 Li 0.000 0.000 0.000
La4 La 0.149 0.351 0.000
Rh4 Rh 0.851 0.351 0.500
# Energy relative to the lowest polymorph listed for this composition ... 231 meV/atom
# Electronic total energy ... -5.6531 eV per atom
# Calculated density ... 6.85 g/cm³
# Energy relative to the elements ... -0.36 eV per atom